Compound: CsLiNbRh2
Source: Alexandria via LeMat-Bulk
Functional: GGA-PBEsol
Structure: relaxed

```
data_CsLiNbRh2
_space_group_name_H-M_alt 'P 4/m m m'
_space_group_IT_number 123
_space_group_name_Hall '-P 4 2'
_cell_length_a 4.8746
_cell_length_b 4.8746
_cell_length_c 5.0505
_cell_angle_alpha 90.00
_cell_angle_beta 90.00
_cell_angle_gamma 90.00
loop_
_atom_site_label
_atom_site_type_symbol
_atom_site_fract_x
_atom_site_fract_y
_atom_site_fract_z
Cs1 Cs 0.0000 0.0000 0.0000
Li1 Li 0.5000 0.5000 0.5000
Nb1 Nb 0.0000 0.0000 0.5000
Rh1 Rh 0.0000 0.5000 0.0000
```

* crystal system: tetragonal
* E_tot: -3.816 eV/atom
* total magnetization: 1.18 μB/f.u.
* ΔH_f (0 K): 2185 meV per atom


Compound: Cs2LiNbS4
Source: Alexandria via LeMat-Bulk
Functional: GGA-PBEsol
Structure: relaxed

```
data_Cs2LiNbS4
_space_group_name_H-M_alt 'P -1'
_space_group_IT_number 2
_cell_length_a 6.8927
_cell_length_b 7.2048
_cell_length_c 9.7652
_cell_angle_alpha 96.63
_cell_angle_beta 92.74
_cell_angle_gamma 91.01
loop_
_space_group_symop_operation_xyz
'x,y,z'
'-x,-y,-z'
loop_
_atom_site_label
_atom_site_type_symbol
_atom_site_fract_x
_atom_site_fract_y
_atom_site_fract_z
Cs1 Cs 0.1309 0.2001 0.1548
Cs2 Cs 0.3020 0.7553 0.5080
Li1 Li 0.4041 0.6786 0.0713
Nb1 Nb 0.2161 0.2923 0.7489
S1 S 0.0882 0.6994 0.1696
S2 S 0.1978 0.2521 0.5151
S3 S 0.3804 0.0555 0.8321
S4 S 0.3960 0.5594 0.8242
```

* formation energy from raw total energies: -1.2420 eV per atom
* crystal system: triclinic
* E_tot: -5.268 eV/atom
* total magnetization: 0.00 μB/f.u.


Compound: CsLiScNb2
Source: Alexandria via LeMat-Bulk
Functional: GGA-PBEsol
Structure: relaxed

```
data_CsLiScNb2
_space_group_name_H-M_alt 'P 4/m m m'
_space_group_IT_number 123
_space_group_name_Hall '-P 4 2'
_cell_length_a 4.8968
_cell_length_b 4.8968
_cell_length_c 6.2382
_cell_angle_alpha 90.00
_cell_angle_beta 90.00
_cell_angle_gamma 90.00
loop_
_atom_site_label
_atom_site_type_symbol
_atom_site_fract_x
_atom_site_fract_y
_atom_site_fract_z
Cs1 Cs 0.0000 0.0000 0.0000
Li1 Li 0.5000 0.5000 0.0000
Sc1 Sc 0.0000 0.0000 0.5000
Nb1 Nb 0.0000 0.5000 0.5000
```

* crystal system: tetragonal
* E_tot: -4.551 eV/atom
* total magnetization: 2.12 μB/f.u.
* ΔH_f (0 K): 1681 meV per atom


Compound: Cs2LiNi
Source: Alexandria via LeMat-Bulk
Functional: GGA-PBEsol
Structure: relaxed

```
data_Cs2LiNi
_space_group_name_H-M_alt 'F m -3 m'
_space_group_IT_number 225
_space_group_name_Hall '-F 4 2 3'
_cell_length_a 8.2561
_cell_length_b 8.2561
_cell_length_c 8.2561
_cell_angle_alpha 90.00
_cell_angle_beta 90.00
_cell_angle_gamma 90.00
loop_
_atom_site_label
_atom_site_type_symbol
_atom_site_fract_x
_atom_site_fract_y
_atom_site_fract_z
Cs1 Cs 0.2500 0.2500 0.2500
Li1 Li 0.0000 0.0000 0.0000
Ni1 Ni 0.0000 0.0000 0.5000
```

* crystal system: cubic
* E_tot: -1.758 eV/atom
* total magnetization: 0.00 μB/f.u.
* ΔH_f (0 K): 744 meV per atom


Compound: CsLiO
Source: Alexandria via LeMat-Bulk
Functional: GGA-PBEsol
Structure: relaxed

```
data_CsLiO
_space_group_name_H-M_alt 'I 4/m m m'
_space_group_IT_number 139
_space_group_name_Hall '-I 4 2'
_cell_length_a 9.6822
_cell_length_b 9.6822
_cell_length_c 6.0283
_cell_angle_alpha 90.00
_cell_angle_beta 90.00
_cell_angle_gamma 90.00
loop_
_atom_site_label
_atom_site_type_symbol
_atom_site_fract_x
_atom_site_fract_y
_atom_site_fract_z
Cs1 Cs 0.0000 0.3104 0.0000
Li1 Li 0.1372 0.1372 0.5000
O1 O 0.0000 0.2601 0.5000
```

* formation energy from raw total energies: -1.3411 eV per atom
* crystal system: tetragonal
* E_tot: -4.061 eV/atom
* total magnetization: 0.00 μB/f.u.


Compound: CsLiO
Source: Alexandria via LeMat-Bulk
Functional: GGA-PBEsol
Structure: relaxed

```
data_CsLiO
_space_group_name_H-M_alt 'P n m a'
_space_group_IT_number 62
_cell_length_a 6.7716
_cell_length_b 3.5778
_cell_length_c 9.3632
_cell_angle_alpha 90.00
_cell_angle_beta 90.00
_cell_angle_gamma 90.00
loop_
_space_group_symop_operation_xyz
'x,y,z'
'-x,-y,-z'
'-x+1/2,-y,z+1/2'
'x+1/2,y,-z+1/2'
'x+1/2,-y+1/2,-z+1/2'
'-x+1/2,y+1/2,z+1/2'
'-x,y+1/2,-z'
'x,-y+1/2,z'
loop_
_atom_site_label
_atom_site_type_symbol
_atom_site_fract_x
_atom_site_fract_y
_atom_site_fract_z
Cs1 Cs 0.0186 0.2500 0.1763
Li1 Li 0.0986 0.7500 0.4977
O1 O 0.1865 0.2500 0.5286
```

* formation energy from raw total energies: -1.3985 eV per atom
* crystal system: orthorhombic
* E_tot: -4.118 eV/atom
* total magnetization: 0.00 μB/f.u.


Compound: CsLiSO4
Source: Alexandria via LeMat-Bulk
Functional: GGA-PBEsol
Structure: relaxed

```
data_CsLiSO4
_space_group_name_H-M_alt 'P n m a'
_space_group_IT_number 62
_cell_length_a 9.8694
_cell_length_b 5.4419
_cell_length_c 12.1465
_cell_angle_alpha 90.00
_cell_angle_beta 90.00
_cell_angle_gamma 90.00
loop_
_space_group_symop_operation_xyz
'x,y,z'
'-x,-y,-z'
'-x+1/2,-y,z+1/2'
'x+1/2,y,-z+1/2'
'x+1/2,-y+1/2,-z+1/2'
'-x+1/2,y+1/2,z+1/2'
'-x,y+1/2,-z'
'x,-y+1/2,z'
loop_
_atom_site_label
_atom_site_type_symbol
_atom_site_fract_x
_atom_site_fract_y
_atom_site_fract_z
Cs1 Cs 0.0832 0.2500 0.1766
Li1 Li 0.1156 0.7500 0.5209
S1 S 0.2040 0.2500 0.4610
O1 O 0.0592 0.2500 0.4248
O2 O 0.2080 0.7500 0.8630
O3 O 0.2298 0.0274 0.5293
```

* formation energy from raw total energies: -1.8696 eV per atom
* crystal system: orthorhombic
* E_tot: -5.911 eV/atom
* total magnetization: 0.04 μB/f.u.


Compound: CsLiSO4
Source: Alexandria via LeMat-Bulk
Functional: GGA-PBEsol
Structure: relaxed

```
data_CsLiSO4
_space_group_name_H-M_alt 'P 1 21/c 1'
_space_group_IT_number 14
_cell_length_a 5.4032
_cell_length_b 8.9221
_cell_length_c 10.7402
_cell_angle_alpha 90.00
_cell_angle_beta 120.02
_cell_angle_gamma 90.00
loop_
_space_group_symop_operation_xyz
'x,y,z'
'-x,-y,-z'
'-x,y+1/2,-z+1/2'
'x,-y+1/2,z+1/2'
loop_
_atom_site_label
_atom_site_type_symbol
_atom_site_fract_x
_atom_site_fract_y
_atom_site_fract_z
Cs1 Cs 0.0384 0.0014 0.2788
Li1 Li 0.3400 0.6780 0.5858
S1 S 0.3280 0.2013 0.0813
O1 O 0.0365 0.2481 0.9684
O2 O 0.3440 0.0358 0.0916
O3 O 0.3890 0.2355 0.7216
O4 O 0.4598 0.7414 0.9569
```

* formation energy from raw total energies: -1.9499 eV per atom
* crystal system: monoclinic
* E_tot: -5.991 eV/atom
* total magnetization: 0.00 μB/f.u.


- The highest E_tot belongs to which entry?
  Cs2LiNi